[1]
The following is a DFT calculation (PBE) of a geometry-optimized Pr6CdIr2I3 structure.

## Properties
energy relative to the elements, uncorrected	-813.7	meV per atom

a b c (Å): 7.5074 7.5074 8.5798
angles (deg): 98.42 98.42 119.93
Element x y z (fractional)
Cd1 0.0000 0.0000 0.0000
Pr1 0.6985 0.6985 0.1916
Pr2 0.3015 0.3015 0.8084
Pr3 0.0662 0.4315 0.1941
Pr4 0.5685 0.9338 0.8059
Pr5 0.4315 0.0662 0.1941
Pr6 0.9338 0.5685 0.8059
Ir1 0.6675 0.3325 0.0000
Ir2 0.3325 0.6675 0.0000
I1 0.8381 0.1619 0.5000
I2 0.1619 0.8381 0.5000
I3 0.5000 0.5000 0.5000

[2]
The following is a DFT calculation (PBE) of a geometry-optimized Ho2HgPb2 structure.

a b c (Å): 5.0634 5.0634 12.6934
angles (deg): 90.00 90.00 120.00
Element x y z (fractional)
Pb1 0.3333 0.6667 0.2500
Pb2 0.0000 0.0000 0.0000
Pb3 0.6667 0.3333 0.7500
Pb4 0.0000 0.0000 0.5000
Ho1 0.3333 0.6667 0.6016
Ho2 0.6667 0.3333 0.1016
Ho3 0.6667 0.3333 0.3984
Ho4 0.3333 0.6667 0.8984
Hg1 0.0000 0.0000 0.7500
Hg2 0.0000 0.0000 0.2500

[3]
The following is a DFT calculation (PBE) of a geometry-optimized Si2AsRh structure.

## Properties
energy relative to the elements, uncorrected	142.8	meV per atom
polymorph energy (0 for the lowest one)	354.7	meV/atom

a b c (Å): 4.5148 4.5148 3.0371
angles (deg): 90.00 90.00 104.92
Element x y z (fractional)
Rh1 0.0000 0.5000 0.5000
Si1 0.0000 0.0000 0.0000
Si2 0.5000 0.5000 0.0000
As1 0.5000 0.0000 0.5000

[4]
The following is a DFT calculation (PBE) of a geometry-optimized La2NiBi2 structure.

a b c (Å): 7.3695 7.3695 5.2130
angles (deg): 90.00 90.00 90.00
Element x y z (fractional)
Bi1 0.3485 0.8485 0.0000
Bi2 0.8485 0.6515 0.0000
Bi3 0.1515 0.3485 0.0000
Bi4 0.6515 0.1515 0.0000
La1 0.3318 0.1682 0.5000
La2 0.8318 0.3318 0.5000
La3 0.1682 0.6682 0.5000
La4 0.6682 0.8318 0.5000
Ni1 0.5000 0.5000 0.0000
Ni2 0.0000 0.0000 0.0000

[5]
The following is a DFT calculation (PBE) of a geometry-optimized AlIn2Ag structure.

a b c (Å): 4.3524 3.9247 5.5757
angles (deg): 70.33 90.00 90.00
Element x y z (fractional)
Al1 0.5000 0.5546 0.7765
In1 0.0000 0.9791 0.9260
In2 0.5000 0.2715 0.3206
Ag1 0.0000 0.6948 0.4769

[6]
The following is a DFT calculation (PBE) of a geometry-optimized Pr2HoS4 structure.

## Properties
energy relative to the elements, uncorrected	-2048.9	meV per atom
polymorph energy (0 for the lowest one)	0.0	meV/atom

a b c (Å): 4.1410 7.2829 11.4295
angles (deg): 90.00 90.00 90.00
Element x y z (fractional)
Pr1 0.5000 0.5995 0.3147
Pr2 0.5000 0.0995 0.1853
Pr3 0.5000 0.4005 0.6853
Pr4 0.5000 0.9005 0.8147
S1 0.5000 0.2604 0.9493
S2 0.5000 0.2396 0.4493
S3 0.0000 0.8703 0.2818
S4 0.5000 0.7604 0.5507
S5 0.0000 0.6297 0.7818
S6 0.5000 0.7396 0.0507
S7 0.0000 0.1297 0.7182
S8 0.0000 0.3703 0.2182
Ho1 0.0000 0.0000 0.5000
Ho2 0.0000 0.5000 0.0000

[7]
The following is a DFT calculation (PBE) of a geometry-optimized LaPrEr2As4 structure.

a b c (Å): 4.2174 7.2879 7.3016
angles (deg): 70.51 90.00 90.00
Element x y z (fractional)
Pr1 0.5000 0.5000 0.0000
La1 0.0000 0.5000 0.5000
As1 0.5000 0.7652 0.2441
As2 0.0000 0.7643 0.7461
As3 0.0000 0.2357 0.2539
As4 0.5000 0.2348 0.7559
Er1 0.0000 0.0000 0.0000
Er2 0.5000 0.0000 0.5000

[8]
The following is a DFT calculation (PBE) of a geometry-optimized Nd3SmDy3 structure.

## Properties
polymorph energy (0 for the lowest one)	174.9	meV/atom

a b c (Å): 8.9392 8.9392 8.9392
angles (deg): 58.56 58.56 58.56
Element x y z (fractional)
Nd1 0.0706 0.7189 0.5660
Nd2 0.4340 0.9294 0.2811
Nd3 0.7189 0.5660 0.0706
Nd4 0.2811 0.4340 0.9294
Nd5 0.9294 0.2811 0.4340
Nd6 0.5660 0.0706 0.7189
Dy1 0.0628 0.2858 0.8260
Dy2 0.7142 0.1740 0.9372
Dy3 0.9372 0.7142 0.1740
Dy4 0.8260 0.0628 0.2858
Dy5 0.1740 0.9372 0.7142
Dy6 0.2858 0.8260 0.0628
Sm1 0.3446 0.3446 0.3446
Sm2 0.6554 0.6554 0.6554

[9]
The following is a DFT calculation (PBE) of a geometry-optimized TiTcSn structure.

## Properties
polymorph energy (0 for the lowest one)	186.5	meV/atom

a b c (Å): 3.0275 4.4432 4.4432
angles (deg): 120.00 90.00 90.00
Element x y z (fractional)
Tc1 0.9555 0.0000 0.0000
Ti1 0.7247 0.3333 0.6667
Sn1 0.3198 0.6667 0.3333

[10]
The following is a DFT calculation (PBE) of a geometry-optimized HoPa2Pd9 structure.

a b c (Å): 4.1478 4.1478 12.4096
angles (deg): 90.00 90.00 90.00
Each line ends with the local moment (μB).
Element x y z (fractional)
Pd1 0.5000 0.5000 0.6665  0.00
Pd2 0.5000 0.0000 0.5000  0.00
Pd3 0.5000 0.5000 0.3335  0.00
Pd4 0.0000 0.5000 0.1683  0.00
Pd5 0.5000 0.5000 0.0000  0.00
Pd6 0.0000 0.5000 0.5000  0.00
Pd7 0.0000 0.5000 0.8317  0.00
Pd8 0.5000 0.0000 0.8317  0.00
Pd9 0.5000 0.0000 0.1683  0.00
Pa1 0.0000 0.0000 0.3302  0.58
Pa2 0.0000 0.0000 0.6698  0.58
Ho1 0.0000 0.0000 0.0000  -0.01

[11]
The following is a DFT calculation (PBE) of a geometry-optimized Ga2BAsS structure.

## Properties
energy relative to the elements, uncorrected	748.1	meV per atom

a b c (Å): 5.1535 3.6278 5.1535
angles (deg): 90.00 90.00 90.00
Element x y z (fractional)
As1 0.5000 0.5000 0.5000
S1 0.0000 0.0000 0.0000
Ga1 0.0000 0.0000 0.5000
Ga2 0.5000 0.0000 0.0000
B1 0.0000 0.5000 0.0000

[12]
The following is a DFT calculation (PBE) of a geometry-optimized CeNi2H8 structure.

## Properties
polymorph energy (0 for the lowest one)	0.0	meV/atom

a b c (Å): 4.1651 4.5021 4.5021
angles (deg): 117.52 90.01 90.01
Each line ends with the local moment (μB).
Element x y z (fractional)
Ni1 0.0000 0.6713 0.3287  0.05
Ni2 0.0000 0.3287 0.6713  0.05
H1 0.0001 0.0214 0.2947  0.00
H2 0.0001 0.2947 0.0214  0.00
H3 0.5000 0.3174 0.6826  0.00
H4 0.9999 0.9786 0.7053  0.00
H5 0.9999 0.7053 0.9786  0.00
H6 0.7584 0.4999 0.4999  0.00
H7 0.5000 0.6826 0.3174  0.00
H8 0.2416 0.5001 0.5001  0.00
Ce1 0.5000 0.0000 0.0000  0.67

Sequential energy output: -5.144 -3.661 -5.569 -5.130 -2.952 -6.427 -6.194 -4.491 -7.520 -6.668 -3.553 -4.135 eV/atom